This record from Alexandria via LeMat-Bulk describes a PBEsol-optimized structure of GaAs2PdSe. The functional is meta-GGA SCAN.

- density of states at the Fermi level (states/eV per cell) = 3.59
- V (Å³/cell) = 109
- distance to the lowest polymorph of the same formula (eV per formula unit) = 1.75

a = 4.7387 Å, b = 4.7387 Å, c = 4.8496 Å
α = 90.00°, β = 90.00°, γ = 90.00°
With the nearest neighbours (Å) after each atom.
Atoms (fractional coordinates):
Ga (0.0000, 0.0000, 0.0000)  4 As 2.37, 2 Se 2.42
As (0.0000, 0.5000, 0.0000)  2 Ga 2.37
As (0.5000, 0.0000, 0.0000)  2 Ga 2.37
Pd (0.5000, 0.5000, 0.5000)  4 Se 3.35, 8 As 3.39
Se (0.0000, 0.0000, 0.5000)  2 Ga 2.42